No. 1
# AcCeSbI

A geometry-optimized AcCeSbI structure (GGA-PBE, the Alexandria database).

Computed properties:
**Uncorrected formation energy**: -3.71 eV per formula unit

Geometry as CIF:
```
data_AcCeSbI
_cell_length_a 8.008
_cell_length_b 8.008
_cell_length_c 8.008
_cell_angle_alpha 90.00
_cell_angle_beta 90.00
_cell_angle_gamma 90.00
_symmetry_space_group_name_H-M 'F -4 3 m'
_symmetry_Int_Tables_number 216
_symmetry_space_group_name_Hall 'F -4 2 3'
loop_
_atom_site_label
_atom_site_fract_x
_atom_site_fract_y
_atom_site_fract_z
Ac1 0.000 0.000 0.000
Ce1 0.000 0.000 0.500
Sb1 0.250 0.250 0.750
I1 0.250 0.250 0.250
```



No. 2
# Er12In6Pt

A geometry-optimized Er12In6Pt structure (GGA-PBE, the Alexandria database).

Computed properties:
**DFT formation energy**: -0.281 eV per atom

Geometry as CIF:
```
data_Er12In6Pt
_cell_length_a 11.7501
_cell_length_b 11.7501
_cell_length_c 13.5413
_cell_angle_alpha 90.00
_cell_angle_beta 90.00
_cell_angle_gamma 120.00
_symmetry_space_group_name_H-M 'R -3'
_symmetry_Int_Tables_number 148
_symmetry_space_group_name_Hall '-R 3'
loop_
_atom_site_label
_atom_site_fract_x
_atom_site_fract_y
_atom_site_fract_z
Er1 0.0297 0.8460 0.3518
Er2 0.0435 0.1977 0.9007
In1 0.0048 0.6010 0.2250
Pt1 0.0000 0.0000 0.5000
```